# 1
Density functional theory data (PBE) for a relaxed structure of K2BaLi.

a = 4.3814 Å, b = 4.3814 Å, c = 14.1022 Å
α = 81.04°, β = 81.04°, γ = 59.95°
Fractional coordinates of all 4 atoms:
K1 0.0724 0.0724 0.7826
K2 0.2610 0.2610 0.2175
Ba1 0.5000 0.5000 0.5001
Li1 0.6667 0.6667 0.9999

Summary:
* magnetization: 0.00 μB/f.u.
* ΔH_f (0 K): 65 kJ/mol of formula units
* E above lowest polymorph: 88 meV/atom

***

# 2
Density functional theory data (PBE) for a relaxed structure of K2BaLi.

a = 8.1240 Å, b = 8.1240 Å, c = 8.1240 Å
α = 139.31°, β = 139.31°, γ = 58.90°
Fractional coordinates of all 4 atoms:
Ba1 0.7500 0.2500 0.5000
K1 0.0000 0.0000 0.0000
K2 0.5000 0.5000 0.0000
Li1 0.2500 0.7500 0.5000

Summary:
* magnetization: 0.00 μB/f.u.
* ΔH_f (0 K): 62 kJ/mol of formula units
* E above lowest polymorph: 79 meV/atom

***

- Which value of E above lowest polymorph does entry 1 give?
  88 meV/atom

***

- Which value of magnetization does entry 1 give?
  0.00 μB/f.u.

***

Repeat the second record exactly.
Density functional theory data (PBE) for a relaxed structure of K2BaLi.

a = 8.1240 Å, b = 8.1240 Å, c = 8.1240 Å
α = 139.31°, β = 139.31°, γ = 58.90°
Fractional coordinates of all 4 atoms:
Ba1 0.7500 0.2500 0.5000
K1 0.0000 0.0000 0.0000
K2 0.5000 0.5000 0.0000
Li1 0.2500 0.7500 0.5000

Summary:
* magnetization: 0.00 μB/f.u.
* ΔH_f (0 K): 62 kJ/mol of formula units
* E above lowest polymorph: 79 meV/atom